(1)
Density functional theory data (PBE) for a geometry-optimized Cu2WBr structure.

Output
Space group   Cm, No. 8

Geometry as POSCAR:
```
Cu2WBr
1.0
8.624 0.000 0.000
0.000 2.898 0.000
-0.802 0.000 4.997
Cu W Br
4 2 2
direct
0.000 0.000 0.000 Cu
0.240 0.500 0.179 Cu
0.500 0.500 0.000 Cu
0.740 0.000 0.179 Cu
0.260 0.000 0.723 W
0.760 0.500 0.723 W
0.018 0.500 0.506 Br
0.518 0.000 0.506 Br
```

(2)
Density functional theory data (PBE) for a geometry-optimized PaNbAs structure.

Output
Space group   C2/m, No. 12
DFT formation energy   -22.4 kJ per mole of atoms

Geometry as POSCAR:
```
PaNbAs
1.0
8.778 -2.140 0.000
8.778 2.140 0.000
-0.823 0.000 7.099
Pa Nb As
4 4 4
direct
0.016 0.016 0.276 Pa
0.421 0.421 0.164 Pa
0.579 0.579 0.836 Pa
0.984 0.984 0.724 Pa
0.258 0.258 0.378 Nb
0.258 0.258 0.873 Nb
0.742 0.742 0.127 Nb
0.742 0.742 0.622 Nb
0.141 0.141 0.591 As
0.149 0.149 0.092 As
0.851 0.851 0.908 As
0.859 0.859 0.409 As
```

| no. | DFT total energy (eV/atom) | ΔE to the lowest computed polymorph (eV/atom) |
| --- | --- | --- |
| 1 | -4.950 | 0.227 |
| 2 | -8.304 | 0.430 |